Entry 1:
Compound: ZrPWCl2
Source: the Alexandria database
Functional: GGA-PBE
Structure: optimized geometry

Properties
- polymorph energy (0 for the lowest one) (kJ/mol of atoms) = 3.8
- Fermi-level density of states (states/eV/atom) = 0.427
- space-group type = No. 123
- total moment (μB/atom) = 0.9156
- raw formation energy (eV per atom) = 0.537

Cell lengths 4.8549, 4.8549, 5.3486 Å; angles 90.00, 90.00, 90.00 degrees
Each line ends with the local moment (μB).
Element x y z (fractional)
1 Cl 0.0000 0.5000 0.0000  0.03
2 Cl 0.5000 0.0000 0.0000  0.03
3 P 0.0000 0.0000 0.5000  -0.11
4 Zr 0.0000 0.0000 0.0000  0.02
5 W 0.5000 0.5000 0.5000  3.39



Entry 2:
Compound: ZnTcCl2
Source: the Alexandria database
Functional: GGA-PBE
Structure: optimized geometry

Properties
- polymorph energy (0 for the lowest one) (kJ/mol of atoms) = 33.9
- Fermi-level density of states (states/eV/atom) = 0.750
- space-group type = No. 65
- total moment (μB/atom) = 0.0001
- raw formation energy (eV per atom) = 0.103

Cell lengths 3.1719, 3.1719, 9.8253 Å; angles 90.00, 90.00, 124.76 degrees
Element x y z (fractional)
1 Cl 0.0000 0.0000 0.0578
2 Cl 0.0000 0.0000 0.4422
3 Zn 0.5000 0.5000 0.7500
4 Tc 0.5000 0.5000 0.2500



Entry 3:
Compound: ReIrBr2
Source: the Alexandria database
Functional: GGA-PBE
Structure: optimized geometry

Properties
- polymorph energy (0 for the lowest one) (kJ/mol of atoms) = 1.4
- Fermi-level density of states (states/eV/atom) = 0.769
- space-group type = No. 8
- total moment (μB/atom) = 0.0000
- raw formation energy (eV per atom) = 0.265

Cell lengths 3.6924, 3.6924, 8.8987 Å; angles 75.41, 75.41, 58.50 degrees
Element x y z (fractional)
1 Re 0.2719 0.2719 0.3075
2 Br 0.9226 0.9226 0.0814
3 Br 0.7604 0.7604 0.6661
4 Ir 0.5452 0.5452 0.4450



Entry 4:
Compound: KMg2Al
Source: the Alexandria database
Functional: GGA-PBE
Structure: optimized geometry

Properties
- Fermi-level density of states (states/eV/atom) = 0.384
- formation energy (meV per atom) = 393
- space-group type = No. 141
- total moment (μB/atom) = 0.0000

Cell lengths 6.0207, 6.0207, 10.0283 Å; angles 72.53, 72.53, 90.00 degrees
Element x y z (fractional)
1 Mg 0.3750 0.6251 0.7500
2 Mg 0.3749 0.1250 0.2500
3 Mg 0.3751 0.6250 0.2500
4 Mg 0.8750 0.6249 0.7500
5 Al 0.2500 0.7500 0.5000
6 Al 0.5000 0.5000 0.0000
7 K 0.7500 0.2500 0.5000
8 K 0.0000 0.0000 0.0000



Entry 5:
Compound: AgHgGePb
Source: the Alexandria database
Functional: GGA-PBE
Structure: optimized geometry

Properties
- Fermi-level density of states (states/eV/atom) = 0.574
- formation energy (meV per atom) = 258
- space-group type = No. 216
- total moment (μB/atom) = 0.0000

Cell lengths 5.1110, 5.1110, 5.1110 Å; angles 60.00, 60.00, 60.00 degrees
Element x y z (fractional)
1 Pb 0.7500 0.7500 0.7500
2 Hg 0.0000 0.0000 0.0000
3 Ag 0.2500 0.2500 0.2500
4 Ge 0.5000 0.5000 0.5000



Entry 6:
Compound: LiCr2Pb
Source: the Alexandria database
Functional: GGA-PBE
Structure: optimized geometry

Properties
- Fermi-level density of states (states/eV/atom) = 0.668
- formation energy (meV per atom) = 836
- space-group type = No. 122
- total moment (μB/atom) = 0.0000

Cell lengths 3.5979, 3.5979, 10.1175 Å; angles 79.76, 79.76, 90.00 degrees
Element x y z (fractional)
1 Pb 0.0000 0.0000 0.0000
2 Pb 0.7500 0.2500 0.5000
3 Li 0.5000 0.5000 0.0000
4 Li 0.2500 0.7500 0.5000
5 Cr 0.8750 0.8219 0.7500
6 Cr 0.3750 0.4281 0.7500
7 Cr 0.1781 0.6250 0.2500
8 Cr 0.5719 0.1250 0.2500



> Number 1 is which compound?

ZrPWCl2



> Fermi-level density of states of number 4 (KMg2Al)?

0.384 states/eV/atom



> Look up the Fermi-level density of states of the fourth one.

0.384 states/eV/atom